(1)
CrTeSe | meta-GGA SCAN | PBEsol geometry

Results
Crystal system = tetragonal
Formation energy without anion corrections = 0.0715 eV/atom
Polymorph energy (0 for the lowest one) = 609 meV/atom

Lattice parameters (Å, degrees): 3.0436 3.0436 12.5363 90.00 90.00 90.00
With the nearest neighbours (Å) after each atom.
Space group I4mm (No. 107)
Symmetry-distinct sites (fractional):
Cr1 0.0000 0.0000 0.0000 [2 per cell]  4 Se 2.55, 4 Te 2.75
Te1 0.0000 0.0000 0.3633 [2 per cell]  4 Cr 2.75, 4 Te 3.04
Se1 0.0000 0.0000 0.6093 [2 per cell]  4 Cr 2.55


(2)
CrTe2Se | meta-GGA SCAN | PBEsol geometry

Results
Crystal system = trigonal
Formation energy without anion corrections = -0.1394 eV/atom

Lattice parameters (Å, degrees): 3.8457 3.8457 24.9474 90.00 90.00 120.00
With the nearest neighbours (Å) after each atom.
Space group R-3m (No. 166, hexagonal axes)
Symmetry-distinct sites (fractional):
Cr1 0.0000 0.0000 0.0000 [3 per cell]  6 Te 2.67
Te1 0.0000 0.0000 0.3927 [6 per cell]  3 Cr 2.67, 1 Se 2.68
Se1 0.0000 0.0000 0.5000 [3 per cell]  2 Te 2.68


(3)
TiCr3Se | meta-GGA SCAN | PBEsol geometry

Results
Crystal system = cubic
Formation energy without anion corrections = 1.2695 eV/atom

Lattice parameters (Å, degrees): 4.4995 4.4995 4.4995 90.00 90.00 90.00
With the nearest neighbours (Å) after each atom.
Space group Pm-3m (No. 221)
Symmetry-distinct sites (fractional):
Ti1 0.0000 0.0000 0.0000 [1 per cell]  6 Cr 2.25
Cr1 0.0000 0.0000 0.5000 [3 per cell]  2 Ti 2.25
Se1 0.5000 0.5000 0.5000 [1 per cell]  12 Cr 3.18


(4)
TiCrSe3 | meta-GGA SCAN | PBEsol geometry

Results
Crystal system = cubic
Formation energy without anion corrections = -0.1088 eV/atom

Lattice parameters (Å, degrees): 4.7143 4.7143 4.7143 90.00 90.00 90.00
With the nearest neighbours (Å) after each atom.
Space group Pm-3m (No. 221)
Symmetry-distinct sites (fractional):
Ti1 0.0000 0.0000 0.0000 [1 per cell]  12 Se 3.33
Cr1 0.5000 0.5000 0.5000 [1 per cell]  6 Se 2.36
Se1 0.0000 0.5000 0.5000 [3 per cell]  2 Cr 2.36


Number 1: total magnetization 0.335 μB/f.u.. Number 2: total magnetization 3.089 μB/f.u.. Number 3: total magnetization 10.090 μB/f.u.. Number 4: total magnetization 4.382 μB/f.u..